(1)
Below is a relaxed LaIrSe2Br crystal, with properties calculated at the PBE-GGA level.

Unit cell a=5.790 b=5.790 c=5.669 alpha=90.00 beta=90.00 gamma=90.00
Element x y z (fractional)
La 0.000 0.000 0.000
Ir 0.500 0.500 0.500
Se 0.000 0.500 0.000
Se 0.500 0.000 0.000
Br 0.000 0.000 0.500

Energy relative to the elements, uncorrected in eV/f.u.: 2.54
Total magnetic moment in μB/cell: 3.01
E above lowest polymorph in meV per atom: 1122
Raw total energy in eV/atom: -3.979

***

(2)
Below is a relaxed SrNpPd2 crystal, with properties calculated at the PBE-GGA level.

Unit cell a=9.650 b=9.650 c=9.650 alpha=22.91 beta=22.91 gamma=22.91
Element x y z (fractional)
Sr 0.000 0.000 0.000
Np 0.500 0.500 0.500
Pd 0.107 0.107 0.107
Pd 0.893 0.893 0.893

Total magnetic moment in μB/cell: 3.60
E above lowest polymorph in meV per atom: 531
Raw total energy in eV/atom: -6.003

***

(3)
Below is a relaxed Hf2GaAg crystal, with properties calculated at the PBE-GGA level.

Unit cell a=3.048 b=3.048 c=8.136 alpha=90.00 beta=90.00 gamma=90.00
Element x y z (fractional)
Hf 0.000 0.000 0.240
Hf 0.000 0.000 0.760
Ga 0.500 0.500 0.000
Ag 0.500 0.500 0.500

Total magnetic moment in μB/cell: 0.00
Raw total energy in eV/atom: -6.650

***

(4)
Below is a relaxed Tb2YNi crystal, with properties calculated at the PBE-GGA level.

Unit cell a=6.244 b=6.244 c=9.553 alpha=90.00 beta=90.00 gamma=145.74
Element x y z (fractional)
Tb 0.137 0.863 0.569
Tb 0.137 0.863 0.931
Tb 0.863 0.137 0.069
Tb 0.863 0.137 0.431
Y 0.420 0.580 0.750
Y 0.580 0.420 0.250
Ni 0.266 0.734 0.250
Ni 0.734 0.266 0.750

Total magnetic moment in μB/cell: 0.00
E above lowest polymorph in meV per atom: 29
Raw total energy in eV/atom: -5.587

***

(5)
Below is a relaxed Th2PaTi crystal, with properties calculated at the PBE-GGA level.

Unit cell a=5.588 b=5.588 c=3.367 alpha=90.00 beta=90.00 gamma=90.00
Element x y z (fractional)
Th 0.000 0.500 0.000
Th 0.500 0.000 0.000
Pa 0.000 0.000 0.500
Ti 0.500 0.500 0.500

Total magnetic moment in μB/cell: 0.00
E above lowest polymorph in meV per atom: 59
Raw total energy in eV/atom: -7.852

***

(6)
Below is a relaxed Cs3Y2ThTe6 crystal, with properties calculated at the PBE-GGA level.

Unit cell a=7.876 b=7.876 c=9.372 alpha=98.06 beta=98.06 gamma=120.00
Element x y z (fractional)
Cs 0.000 0.000 0.000
Cs 0.334 0.666 0.000
Cs 0.666 0.334 0.000
Y 0.167 0.833 0.500
Y 0.833 0.167 0.500
Th 0.500 0.500 0.500
Te 0.099 0.435 0.306
Te 0.228 0.228 0.693
Te 0.435 0.099 0.306
Te 0.565 0.901 0.694
Te 0.772 0.772 0.307
Te 0.901 0.565 0.694

Energy relative to the elements, uncorrected in eV/f.u.: -15.86
Total magnetic moment in μB/cell: 0.00
Raw total energy in eV/atom: -4.802

***

(7)
Below is a relaxed Cu3NiRh crystal, with properties calculated at the PBE-GGA level.

Unit cell a=4.565 b=4.565 c=4.565 alpha=90.00 beta=90.00 gamma=90.00
Element x y z (fractional)
Cu 0.000 0.000 0.500
Cu 0.000 0.500 0.000
Cu 0.500 0.000 0.000
Ni 0.500 0.500 0.500
Rh 0.000 0.000 0.000

Total magnetic moment in μB/cell: 1.44
E above lowest polymorph in meV per atom: 1349
Raw total energy in eV/atom: -3.701

***

(8)
Below is a relaxed Rb3Pr3TmSe8 crystal, with properties calculated at the PBE-GGA level.

Unit cell a=9.585 b=9.585 c=9.585 alpha=53.55 beta=53.55 gamma=53.55
Element x y z (fractional)
Rb 0.000 0.500 0.500
Rb 0.500 0.000 0.500
Rb 0.500 0.500 0.000
Pr 0.000 0.000 0.500
Pr 0.000 0.500 0.000
Pr 0.500 0.000 0.000
Tm 0.500 0.500 0.500
Se 0.234 0.234 0.234
Se 0.244 0.724 0.724
Se 0.276 0.276 0.756
Se 0.276 0.756 0.276
Se 0.724 0.244 0.724
Se 0.724 0.724 0.244
Se 0.756 0.276 0.276
Se 0.766 0.766 0.766

Energy relative to the elements, uncorrected in eV/f.u.: -24.65
Total magnetic moment in μB/cell: 0.00
Raw total energy in eV/atom: -4.949

***

(9)
Below is a relaxed YThCu2Ge2 crystal, with properties calculated at the PBE-GGA level.

Unit cell a=4.225 b=4.225 c=7.837 alpha=90.00 beta=90.00 gamma=120.00
Element x y z (fractional)
Y 0.000 0.000 0.000
Th 0.000 0.000 0.500
Cu 0.333 0.667 0.752
Cu 0.667 0.333 0.248
Ge 0.333 0.667 0.242
Ge 0.667 0.333 0.758

Total magnetic moment in μB/cell: 0.00
Raw total energy in eV/atom: -5.885

***

(10)
Below is a relaxed Ac4CdIn2Ga crystal, with properties calculated at the PBE-GGA level.

Unit cell a=9.929 b=9.929 c=9.929 alpha=33.65 beta=33.65 gamma=33.65
Element x y z (fractional)
Ac 0.121 0.121 0.121
Ac 0.372 0.372 0.372
Ac 0.628 0.628 0.628
Ac 0.879 0.879 0.879
Cd 0.500 0.500 0.500
In 0.246 0.246 0.246
In 0.754 0.754 0.754
Ga 0.000 0.000 0.000

Total magnetic moment in μB/cell: 0.00
Raw total energy in eV/atom: -3.615

***

(11)
Below is a relaxed LiErGa2Cl6 crystal, with properties calculated at the PBE-GGA level.

Unit cell a=6.988 b=7.337 c=12.164 alpha=90.00 beta=124.22 gamma=90.00
Element x y z (fractional)
Li 0.000 0.000 0.000
Li 0.000 0.500 0.500
Er 0.500 0.000 0.500
Er 0.500 0.500 0.000
Ga 0.214 0.079 0.734
Ga 0.214 0.421 0.234
Ga 0.786 0.579 0.766
Ga 0.786 0.921 0.266
Cl 0.147 0.196 0.454
Cl 0.147 0.304 0.954
Cl 0.250 0.704 0.445
Cl 0.250 0.796 0.945
Cl 0.353 0.027 0.249
Cl 0.353 0.473 0.749
Cl 0.647 0.527 0.251
Cl 0.647 0.973 0.751
Cl 0.750 0.204 0.055
Cl 0.750 0.296 0.555
Cl 0.853 0.696 0.046
Cl 0.853 0.804 0.546

Energy relative to the elements, uncorrected in eV/f.u.: -15.49
Total magnetic moment in μB/cell: 0.00
Raw total energy in eV/atom: -3.910

***

(12)
Below is a relaxed EuInAgIr crystal, with properties calculated at the PBE-GGA level.

Unit cell a=4.913 b=4.913 c=4.913 alpha=60.00 beta=60.00 gamma=60.00
Element x y z (fractional)
Eu 0.000 0.000 0.000
In 0.500 0.500 0.500
Ag 0.750 0.750 0.750
Ir 0.250 0.250 0.250

Total magnetic moment in μB/cell: 6.82
Raw total energy in eV/atom: -6.339